[1]
VASP calculation (PBE) on a geometry-optimized CuRuSe2 structure.

a b c (Å): 3.103 4.836 9.651
angles (deg): 90.00 90.00 90.00
Element x y z (fractional)
Cu (0.000, 0.000, 0.000)
Cu (0.500, 0.500, 0.000)
Ru (0.000, 0.500, 0.782)
Ru (0.500, 0.000, 0.782)
Se (0.000, 0.000, 0.584)
Se (0.000, 0.500, 0.206)
Se (0.500, 0.000, 0.206)
Se (0.500, 0.500, 0.584)

Results
Total magnetization in μB/atom: 0.039
E_form (uncorrected) in meV/atom: 356



[2]
VASP calculation (PBE) on a geometry-optimized YScCoRu structure.

a b c (Å): 6.556 6.556 6.556
angles (deg): 90.00 90.00 90.00
Element x y z (fractional)
Y (0.000, 0.000, 0.000)
Y (0.000, 0.500, 0.500)
Y (0.500, 0.000, 0.500)
Y (0.500, 0.500, 0.000)
Sc (0.000, 0.000, 0.500)
Sc (0.000, 0.500, 0.000)
Sc (0.500, 0.000, 0.000)
Sc (0.500, 0.500, 0.500)
Co (0.250, 0.250, 0.750)
Co (0.250, 0.750, 0.250)
Co (0.750, 0.250, 0.250)
Co (0.750, 0.750, 0.750)
Ru (0.250, 0.250, 0.250)
Ru (0.250, 0.750, 0.750)
Ru (0.750, 0.250, 0.750)
Ru (0.750, 0.750, 0.250)

Results
Total magnetization in μB/atom: 0.000
ΔE_f in eV per atom: -0.30



[3]
VASP calculation (PBE) on a geometry-optimized K4TcO5 structure.

a b c (Å): 6.392 6.392 6.392
angles (deg): 101.46 101.46 127.06
Element x y z (fractional)
K (0.105, 0.297, 0.403)
K (0.297, 0.895, 0.192)
K (0.703, 0.105, 0.808)
K (0.895, 0.703, 0.597)
Tc (0.550, 0.550, 0.000)
O (0.243, 0.532, 0.851)
O (0.393, 0.243, 0.712)
O (0.532, 0.681, 0.288)
O (0.681, 0.393, 0.149)
O (0.862, 0.862, 0.000)

Results
Total magnetization in μB/atom: 0.103
E_form (uncorrected) in meV/atom: -1541



- Look up the total magnetization of the second one.
  0.000 μB/atom



- Number 2 is which compound?
  YScCoRu